Record 1
Below is Tl3NiBr at its PBEsol-relaxed geometry, with properties calculated at the meta-GGA SCAN level.

Results
- Density of states at the Fermi level: 0.510 states/eV per cell
- Symmetry: Pm-3m (221)
- Raw formation energy: -0.3241 eV per atom

a = 5.061 Å, b = 5.061 Å, c = 5.061 Å
α = 90.00°, β = 90.00°, γ = 90.00°
Sites, in units of the cell vectors:
Tl (0.000, 0.000, 0.500)
Tl (0.000, 0.500, 0.000)
Tl (0.500, 0.000, 0.000)
Ni (0.000, 0.000, 0.000)
Br (0.500, 0.500, 0.500)

---

Record 2
Below is NiWBr2 at its PBEsol-relaxed geometry, with properties calculated at the meta-GGA SCAN level.

Results
- Density of states at the Fermi level: 3.192 states/eV per cell
- Symmetry: Pmmm (47)
- Raw formation energy: 1.2549 eV per atom

a = 2.966 Å, b = 4.174 Å, c = 5.558 Å
α = 90.00°, β = 90.00°, γ = 90.00°
Sites, in units of the cell vectors:
Ni (0.000, 0.000, 0.000)
W (0.500, 0.000, 0.500)
Br (0.000, 0.500, 0.500)
Br (0.500, 0.500, 0.000)

---

Record 3
Below is NiW2Br at its PBEsol-relaxed geometry, with properties calculated at the meta-GGA SCAN level.

Results
- Density of states at the Fermi level: 4.665 states/eV per cell
- Symmetry: R3m (160)
- Raw formation energy: 0.7385 eV per atom

a = 8.686 Å, b = 8.686 Å, c = 8.686 Å
α = 19.13°, β = 19.13°, γ = 19.13°
Sites, in units of the cell vectors:
Ni (0.000, 0.000, 0.000)
W (0.501, 0.501, 0.501)
W (0.742, 0.742, 0.742)
Br (0.248, 0.248, 0.248)

---

Record 4
Below is NiW2Br at its PBEsol-relaxed geometry, with properties calculated at the meta-GGA SCAN level.

Results
- Density of states at the Fermi level: 3.998 states/eV per cell
- Symmetry: F-43m (216)
- Raw formation energy: 1.3388 eV per atom

a = 4.425 Å, b = 4.425 Å, c = 4.425 Å
α = 60.00°, β = 60.00°, γ = 60.00°
Sites, in units of the cell vectors:
Ni (0.000, 0.000, 0.000)
W (0.500, 0.500, 0.500)
W (0.750, 0.750, 0.750)
Br (0.250, 0.250, 0.250)

---

Record 5
Below is NiW2Br at its PBEsol-relaxed geometry, with properties calculated at the meta-GGA SCAN level.

Results
- Density of states at the Fermi level: 3.031 states/eV per cell
- Symmetry: Imm2 (44)
- Raw formation energy: 1.0503 eV per atom

a = 5.236 Å, b = 5.236 Å, c = 5.236 Å
α = 148.11°, β = 128.47°, γ = 61.89°
Sites, in units of the cell vectors:
Ni (0.000, 0.000, 0.000)
W (0.237, 0.737, 0.500)
W (0.525, 0.525, 0.000)
Br (0.761, 0.261, 0.500)

---

Record 6
Below is NiW2Br at its PBEsol-relaxed geometry, with properties calculated at the meta-GGA SCAN level.

Results
- Density of states at the Fermi level: 2.316 states/eV per cell
- Symmetry: Pm (6)
- Raw formation energy: 0.5311 eV per atom

a = 3.204 Å, b = 3.103 Å, c = 6.922 Å
α = 90.00°, β = 92.88°, γ = 90.00°
Sites, in units of the cell vectors:
Ni (0.000, 0.000, 0.000)
W (0.007, 0.000, 0.606)
W (0.477, 0.500, 0.809)
Br (0.948, 0.500, 0.288)

---

Record 7
Below is Y6NiBr10 at its PBEsol-relaxed geometry, with properties calculated at the meta-GGA SCAN level.

Results
- Symmetry: P-1 (2)
- Raw formation energy: -1.7828 eV per atom

a = 7.134 Å, b = 8.925 Å, c = 8.949 Å
α = 107.92°, β = 97.00°, γ = 105.36°
Sites, in units of the cell vectors:
Y (0.031, 0.202, 0.407)
Y (0.123, 0.544, 0.252)
Y (0.361, 0.635, 0.677)
Y (0.639, 0.365, 0.323)
Y (0.877, 0.456, 0.748)
Y (0.969, 0.798, 0.593)
Ni (0.000, 0.500, 0.500)
Br (0.087, 0.872, 0.321)
Br (0.215, 0.238, 0.145)
Br (0.260, 0.585, 0.963)
Br (0.359, 0.961, 0.774)
Br (0.451, 0.317, 0.589)
Br (0.549, 0.683, 0.411)
Br (0.641, 0.039, 0.226)
Br (0.740, 0.415, 0.037)
Br (0.785, 0.762, 0.855)
Br (0.913, 0.128, 0.679)

---

Record 8
Below is YNiBr at its PBEsol-relaxed geometry, with properties calculated at the meta-GGA SCAN level.

Results
- Symmetry: P3m1 (156)
- Raw formation energy: -0.5830 eV per atom

a = 3.713 Å, b = 3.713 Å, c = 5.591 Å
α = 90.00°, β = 90.00°, γ = 120.00°
Sites, in units of the cell vectors:
Y (0.000, 0.000, 0.000)
Ni (0.667, 0.333, 0.276)
Br (0.333, 0.667, 0.628)

---

Record 9
Below is Zn2NiBr at its PBEsol-relaxed geometry, with properties calculated at the meta-GGA SCAN level.

Results
- Density of states at the Fermi level: 1.530 states/eV per cell
- Symmetry: Immm (71)
- Raw formation energy: 0.2855 eV per atom

a = 6.047 Å, b = 6.047 Å, c = 6.047 Å
α = 151.97°, β = 141.65°, γ = 48.16°
Sites, in units of the cell vectors:
Zn (0.204, 0.204, 0.000)
Zn (0.796, 0.796, 0.000)
Ni (0.000, 0.500, 0.500)
Br (0.500, 0.000, 0.500)

---

Record 10
Below is Zn2NiBr at its PBEsol-relaxed geometry, with properties calculated at the meta-GGA SCAN level.

Results
- Density of states at the Fermi level: 1.974 states/eV per cell
- Symmetry: F-43m (216)
- Raw formation energy: 0.6416 eV per atom

a = 4.487 Å, b = 4.487 Å, c = 4.487 Å
α = 60.00°, β = 60.00°, γ = 60.00°
Sites, in units of the cell vectors:
Zn (0.000, 0.000, 0.000)
Zn (0.250, 0.250, 0.250)
Ni (0.500, 0.500, 0.500)
Br (0.750, 0.750, 0.750)

---

Record 11
Below is Zn2NiBr at its PBEsol-relaxed geometry, with properties calculated at the meta-GGA SCAN level.

Results
- Density of states at the Fermi level: 1.403 states/eV per cell
- Symmetry: P4mm (99)
- Raw formation energy: 0.1154 eV per atom

a = 3.324 Å, b = 3.324 Å, c = 6.460 Å
α = 90.00°, β = 90.00°, γ = 90.00°
Sites, in units of the cell vectors:
Zn (0.000, 0.000, 0.000)
Zn (0.500, 0.500, 0.284)
Ni (0.500, 0.500, 0.930)
Br (0.000, 0.000, 0.501)

---

Record 12
Below is ZrNiBr at its PBEsol-relaxed geometry, with properties calculated at the meta-GGA SCAN level.

Results
- Density of states at the Fermi level: 2.456 states/eV per cell
- Symmetry: I4mm (107)
- Raw formation energy: -0.1918 eV per atom

a = 5.466 Å, b = 5.466 Å, c = 5.466 Å
α = 145.79°, β = 145.79°, γ = 49.15°
Sites, in units of the cell vectors:
Zr (0.000, 0.000, 0.000)
Ni (0.642, 0.642, 0.000)
Br (0.315, 0.315, 0.000)